Record 1
## Mg2CuBr (PBE-GGA)

Data for Mg2CuBr after structural relaxation.

a b c (Å): 7.002 7.002 7.002
angles (deg): 90.00 90.00 90.00
Space group Fm-3m (No. 225)
Symmetry-distinct sites (fractional):
Mg  0.250  0.250  0.250 [8 per cell]
Cu  0.000  0.000  0.000 [4 per cell]
Br  0.000  0.000  0.500 [4 per cell]

Output
The calculation puts the total energy at -2.13 eV/atom. The calculation puts the total moment at 0.00 μB per formula unit. As for the energy above the lowest structure with this stoichiometry: 1.79 eV per formula unit.



Record 2
## PS (PBE-GGA)

Data for PS after structural relaxation.

a b c (Å): 2.535 2.535 4.995
angles (deg): 90.00 90.00 90.00
Space group P4/mmm (No. 123)
Symmetry-distinct sites (fractional):
P  0.000  0.000  0.000 [1 per cell]
S  0.000  0.000  0.500 [1 per cell]

Output
The calculation puts the total energy at -4.35 eV/atom. The calculation puts the total moment at 0.00 μB per formula unit. As for the energy above the lowest structure with this stoichiometry: 1.11 eV per formula unit.



Record 3
## YGe4Pd4 (PBE-GGA)

Data for YGe4Pd4 after structural relaxation.

a b c (Å): 6.245 6.245 8.355
angles (deg): 90.00 90.00 90.00
Space group P4_2/nmc (No. 137, origin choice 2)
Symmetry-distinct sites (fractional):
Y  0.250  0.750  0.250 [2 per cell]
Ge  0.028  0.250  0.053 [8 per cell]
Pd  0.027  0.250  0.350 [8 per cell]

Output
For the formation energy, the calculation gives -0.507 eV/atom. The calculation puts the total energy at -5.59 eV/atom. The calculation puts the total moment at 0.00 μB per formula unit.



Record 4
## Al2IrOs (PBE-GGA)

Data for Al2IrOs after structural relaxation.

a b c (Å): 2.8551 2.8551 24.3946
angles (deg): 90.00 90.00 120.00
Space group R-3m (No. 166, hexagonal axes)
Symmetry-distinct sites (fractional):
Al  0.0000  0.0000  0.2491 [6 per cell]
Ir  0.0000  0.0000  0.5000 [3 per cell]
Os  0.0000  0.0000  0.0000 [3 per cell]

Output
For the formation energy, the calculation gives -0.388 eV/atom. The calculation puts the total energy at -7.28 eV/atom. The calculation puts the total moment at 0.00 μB per formula unit. As for the energy above the lowest structure with this stoichiometry: 1.27 eV per formula unit.



Record 5
## RePO6 (PBE-GGA)

Data for RePO6 after structural relaxation.

a b c (Å): 14.769 8.839 21.366
angles (deg): 90.00 90.93 90.00
Space group C2/c (No. 15)
Symmetry-distinct sites (fractional):
Re  0.005  0.005  0.372 [8 per cell]
Re  0.157  0.488  0.781 [8 per cell]
Re  0.172  0.492  0.543 [8 per cell]
P  0.034  0.385  0.151 [8 per cell]
P  0.128  0.112  0.513 [8 per cell]
P  0.210  0.145  0.328 [8 per cell]
O  0.030  0.237  0.115 [8 per cell]
O  0.046  0.176  0.873 [8 per cell]
O  0.061  0.004  0.195 [8 per cell]
O  0.065  0.445  0.339 [8 per cell]
O  0.079  0.049  0.456 [8 per cell]
O  0.079  0.492  0.607 [8 per cell]
O  0.085  0.376  0.213 [8 per cell]
O  0.095  0.030  0.573 [8 per cell]
O  0.097  0.333  0.754 [8 per cell]
O  0.108  0.423  0.986 [8 per cell]
O  0.109  0.093  0.332 [8 per cell]
O  0.116  0.283  0.520 [8 per cell]
O  0.213  0.298  0.295 [8 per cell]
O  0.225  0.411  0.838 [8 per cell]
O  0.230  0.356  0.074 [8 per cell]
O  0.231  0.071  0.512 [8 per cell]
O  0.244  0.349  0.609 [8 per cell]
O  0.246  0.478  0.715 [8 per cell]

Output
The calculation puts the total energy at -7.70 eV/atom. The calculation puts the total moment at 0.00 μB per formula unit.



Record 6
## Li2SiSb (PBE-GGA)

Data for Li2SiSb after structural relaxation.

a b c (Å): 5.749 8.150 3.110
angles (deg): 90.00 90.81 90.00
Space group C2/m (No. 12)
Symmetry-distinct sites (fractional):
Li  0.250  0.250  0.000 [4 per cell]
Si  0.000  0.000  0.500 [2 per cell]
Sb  0.000  0.500  0.500 [2 per cell]

Output
The calculation puts the total energy at -3.52 eV/atom. The calculation puts the total moment at 0.00 μB per formula unit. As for the energy above the lowest structure with this stoichiometry: 0.17 eV per formula unit.



Record 7
## LaSm4Cd (PBE-GGA)

Data for LaSm4Cd after structural relaxation.

a b c (Å): 3.678 3.678 14.370
angles (deg): 90.00 90.00 90.00
Space group P4/mmm (No. 123)
Symmetry-distinct sites (fractional):
La  0.000  0.000  0.000 [1 per cell]
Sm  0.000  0.000  0.357 [2 per cell]
Sm  0.500  0.500  0.182 [2 per cell]
Cd  0.500  0.500  0.500 [1 per cell]

Output
For the formation energy, the calculation gives -0.092 eV/atom. The calculation puts the total energy at -4.21 eV/atom. The calculation puts the total moment at 0.00 μB per formula unit. As for the energy above the lowest structure with this stoichiometry: 0.00 eV per formula unit.



Record 8
## Rb3CePu2Te6 (PBE-GGA)

Data for Rb3CePu2Te6 after structural relaxation.

a b c (Å): 8.032 13.914 8.918
angles (deg): 90.00 107.46 90.00
Space group C2/m (No. 12)
Symmetry-distinct sites (fractional):
Rb  0.000  0.000  0.000 [2 per cell]
Rb  0.000  0.333  0.000 [4 per cell]
Ce  0.000  0.500  0.500 [2 per cell]
Pu  0.000  0.167  0.500 [4 per cell]
Te  0.232  0.000  0.700 [4 per cell]
Te  0.234  0.333  0.700 [8 per cell]

Output
The calculation puts the total energy at -5.88 eV/atom. The calculation puts the total moment at 11.00 μB per formula unit.



What is the formula in the fifth record?
RePO6



Which value of total moment does entry 2 give?
0.00 μB per formula unit